# 1
NbVAs after structural relaxation, computed with GGA-PBE.

a b c (Å): 4.4431 4.4431 2.8232
angles (deg): 90.00 90.00 120.00
Space group P3m1 (No. 156)
Asymmetric unit:
1 Nb 0.0000 0.0000 0.0000 x1
2 V 0.6667 0.3333 0.3614 x1
3 As 0.3333 0.6667 0.3457 x1

***

# 2
NbV12As6 after structural relaxation, computed with GGA-PBE.

a b c (Å): 11.1395 11.1395 8.1626
angles (deg): 90.00 90.00 120.00
Space group R-3m (No. 166, hexagonal axes)
Asymmetric unit:
1 Nb 0.0000 0.0000 0.0000 x3
2 V 0.0000 0.3879 0.5000 x18
3 V 0.0808 0.1616 0.3204 x18
4 As 0.0249 0.5124 0.2469 x18

***

| no. | electronic total energy (eV/atom) |
| --- | --- |
| 1 | -8.029 |
| 2 | -7.842 |